First-principles (PBE+U) data for a relaxed structure of YCo2PtO, as listed in the Alexandria database.

Calculated values
Magnetic moment in Bohr magnetons per cell: 3.77
Uncorrected energy in eV for the cell shown: -31.43
D(E_F) in states/eV/cell: 1.5

a b c (Å): 4.051 4.570 4.051
angles (deg): 90.00 90.00 90.00
Element x y z (fractional)
Pt (0.500, 0.500, 0.500)
Y (0.000, 0.500, 0.000)
O (0.000, 0.000, 0.000)
Co (0.000, 0.000, 0.500)
Co (0.500, 0.000, 0.000)